# Ce6MnCd2H PBE optimized geometry
# DOS at the Fermi energy ... 2.231 states/eV per atom
# Symmetry ... C2/m, No. 12
data_Ce6MnCd2H
_chemical_formula_sum 'Ce6 Mn1 Cd2 H1'
_cell_length_a 6.9620
_cell_length_b 6.9605
_cell_length_c 6.8827
_cell_angle_alpha 60.44
_cell_angle_beta 60.42
_cell_angle_gamma 89.14
_space_group_name_H-M_alt 'P 1'
_space_group_IT_number 1
_space_group_name_Hall 'P 1'
loop_
_atom_site_label
_atom_site_fract_x
_atom_site_fract_y
_atom_site_fract_z
_atom_site_occupancy
Ce1 0.7499 0.7502 0.0347 1
Ce2 0.2501 0.2498 0.9653 1
Ce3 0.7456 0.2547 0.9997 1
Ce4 0.7485 0.7483 0.4624 1
Ce5 0.2544 0.7453 0.0003 1
Ce6 0.2515 0.2517 0.5376 1
Mn1 0.5000 0.5000 0.0000 1
Cd1 0.2329 0.7672 0.5002 1
Cd2 0.7671 0.2328 0.4998 1
H1 0.0000 0.0000 0.0000 1

***

# CsAcHg2 PBE optimized geometry
# DOS at the Fermi energy ... 0.821 states/eV per atom
# Symmetry ... R-3m, No. 166
data_CsAcHg2
_chemical_formula_sum 'Cs1 Ac1 Hg2'
_cell_length_a 4.4102
_cell_length_b 4.4102
_cell_length_c 10.5056
_cell_angle_alpha 77.88
_cell_angle_beta 77.88
_cell_angle_gamma 60.00
_space_group_name_H-M_alt 'P 1'
_space_group_IT_number 1
_space_group_name_Hall 'P 1'
loop_
_atom_site_label
_atom_site_fract_x
_atom_site_fract_y
_atom_site_fract_z
_atom_site_occupancy
Hg1 0.7380 0.7380 0.7861 1
Hg2 0.2620 0.2620 0.2139 1
Cs1 0.5000 0.5000 0.5000 1
Ac1 0.0000 0.0000 0.0000 1

***

# InRuO4 PBE optimized geometry
# DOS at the Fermi energy ... 0.439 states/eV per atom
# ΔE to the lowest computed polymorph ... 0.28 eV per formula unit
# Formation energy without anion corrections ... -1.05 eV/atom
# Symmetry ... I-4m2, No. 119
data_InRuO4
_chemical_formula_sum 'In1 Ru1 O4'
_cell_length_a 3.7659
_cell_length_b 3.7659
_cell_length_c 6.5024
_cell_angle_alpha 106.83
_cell_angle_beta 106.83
_cell_angle_gamma 90.00
_space_group_name_H-M_alt 'P 1'
_space_group_IT_number 1
_space_group_name_Hall 'P 1'
loop_
_atom_site_label
_atom_site_fract_x
_atom_site_fract_y
_atom_site_fract_z
_atom_site_occupancy
O1 0.5770 0.0771 0.1541 1
O2 0.9229 0.4230 0.8459 1
O3 0.2407 0.2407 0.4815 1
O4 0.7593 0.7593 0.5185 1
Ru1 0.7500 0.2500 0.5000 1
In1 0.0000 0.0000 0.0000 1

***

# ThScCu2 PBE optimized geometry
# DOS at the Fermi energy ... 1.331 states/eV per atom
# ΔE to the lowest computed polymorph ... 0.04 eV per formula unit
# Symmetry ... Pm, No. 6
data_ThScCu2
_chemical_formula_sum 'Th1 Sc1 Cu2'
_cell_length_a 3.6036
_cell_length_b 4.3160
_cell_length_c 5.6183
_cell_angle_alpha 90.00
_cell_angle_beta 108.64
_cell_angle_gamma 90.00
_space_group_name_H-M_alt 'P 1'
_space_group_IT_number 1
_space_group_name_Hall 'P 1'
loop_
_atom_site_label
_atom_site_fract_x
_atom_site_fract_y
_atom_site_fract_z
_atom_site_occupancy
Cu1 0.0184 0.0000 0.5753 1
Cu2 0.1559 0.5000 0.8527 1
Th1 0.4333 0.5000 0.4040 1
Sc1 0.7235 0.0000 0.9860 1

***

# Sm8AgHg2 PBE optimized geometry
# DOS at the Fermi energy ... 0.998 states/eV per atom
# ΔE to the lowest computed polymorph ... 0.24 eV per formula unit
# Symmetry ... C2/m, No. 12
data_Sm8AgHg2
_chemical_formula_sum 'Sm8 Ag1 Hg2'
_cell_length_a 5.2739
_cell_length_b 7.0701
_cell_length_c 9.6234
_cell_angle_alpha 104.15
_cell_angle_beta 105.90
_cell_angle_gamma 90.00
_space_group_name_H-M_alt 'P 1'
_space_group_IT_number 1
_space_group_name_Hall 'P 1'
loop_
_atom_site_label
_atom_site_fract_x
_atom_site_fract_y
_atom_site_fract_z
_atom_site_occupancy
Sm1 0.6621 0.9710 0.3242 1
Sm2 0.5902 0.4584 0.1804 1
Sm3 0.1987 0.3145 0.3974 1
Sm4 0.0226 0.7675 0.0452 1
Sm5 0.8013 0.6855 0.6026 1
Sm6 0.3379 0.0290 0.6758 1
Sm7 0.9774 0.2325 0.9548 1
Sm8 0.4098 0.5416 0.8196 1
Hg1 0.8142 0.2672 0.6284 1
Hg2 0.1858 0.7328 0.3716 1
Ag1 0.5000 0.0000 0.0000 1

***

# Ca2LaHgH PBE optimized geometry
# DOS at the Fermi energy ... 0.824 states/eV per atom
# Symmetry ... P4/mmm, No. 123
data_Ca2LaHgH
_chemical_formula_sum 'Ca2 La1 Hg1 H1'
_cell_length_a 5.0020
_cell_length_b 5.0020
_cell_length_c 5.0634
_cell_angle_alpha 90.00
_cell_angle_beta 90.00
_cell_angle_gamma 90.00
_space_group_name_H-M_alt 'P 1'
_space_group_IT_number 1
_space_group_name_Hall 'P 1'
loop_
_atom_site_label
_atom_site_fract_x
_atom_site_fract_y
_atom_site_fract_z
_atom_site_occupancy
H1 0.0000 0.0000 0.0000 1
La1 0.0000 0.0000 0.5000 1
Ca1 0.0000 0.5000 0.0000 1
Ca2 0.5000 0.0000 0.0000 1
Hg1 0.5000 0.5000 0.5000 1

***

# Mg2FeAg PBE optimized geometry
# DOS at the Fermi energy ... 0.822 states/eV per atom
# Symmetry ... Cm, No. 8
data_Mg2FeAg
_chemical_formula_sum 'Mg2 Fe1 Ag1'
_cell_length_a 5.3314
_cell_length_b 5.3314
_cell_length_c 4.8124
_cell_angle_alpha 72.01
_cell_angle_beta 72.01
_cell_angle_gamma 32.48
_space_group_name_H-M_alt 'P 1'
_space_group_IT_number 1
_space_group_name_Hall 'P 1'
loop_
_atom_site_label
_atom_site_fract_x
_atom_site_fract_y
_atom_site_fract_z
_atom_site_occupancy
Mg1 0.9819 0.9819 0.0513 1
Mg2 0.7617 0.7617 0.7066 1
Fe1 0.2413 0.2413 0.2173 1
Ag1 0.5151 0.5151 0.5248 1

***

# Na3Zn4Au4 PBE optimized geometry
# DOS at the Fermi energy ... 0.155 states/eV per atom
# ΔE to the lowest computed polymorph ... 0.41 eV per formula unit
# Symmetry ... I-43m, No. 217
data_Na3Zn4Au4
_chemical_formula_sum 'Na3 Zn4 Au4'
_cell_length_a 6.8675
_cell_length_b 6.8675
_cell_length_c 6.8675
_cell_angle_alpha 109.47
_cell_angle_beta 109.47
_cell_angle_gamma 109.47
_space_group_name_H-M_alt 'P 1'
_space_group_IT_number 1
_space_group_name_Hall 'P 1'
loop_
_atom_site_label
_atom_site_fract_x
_atom_site_fract_y
_atom_site_fract_z
_atom_site_occupancy
Na1 0.5000 0.5000 0.0000 1
Na2 0.0000 0.5000 0.5000 1
Na3 0.5000 0.0000 0.5000 1
Au1 0.0000 0.0000 0.6056 1
Au2 0.6056 0.0000 0.0000 1
Au3 0.0000 0.6056 0.0000 1
Au4 0.3944 0.3944 0.3944 1
Zn1 0.0000 0.0000 0.2416 1
Zn2 0.0000 0.2416 0.0000 1
Zn3 0.2416 0.0000 0.0000 1
Zn4 0.7584 0.7584 0.7584 1

***

# Nb2GaTe4 PBE optimized geometry
# DOS at the Fermi energy ... 0.337 states/eV per atom
# ΔE to the lowest computed polymorph ... 0.00 eV per formula unit
# Formation energy without anion corrections ... -0.40 eV/atom
# Symmetry ... C2/m, No. 12
data_Nb2GaTe4
_chemical_formula_sum 'Nb2 Ga1 Te4'
_cell_length_a 3.6151
_cell_length_b 6.7388
_cell_length_c 9.1269
_cell_angle_alpha 118.18
_cell_angle_beta 101.42
_cell_angle_gamma 90.00
_space_group_name_H-M_alt 'P 1'
_space_group_IT_number 1
_space_group_name_Hall 'P 1'
loop_
_atom_site_label
_atom_site_fract_x
_atom_site_fract_y
_atom_site_fract_z
_atom_site_occupancy
Te1 0.1161 0.7564 0.2322 1
Te2 0.6576 0.3113 0.3152 1
Te3 0.8839 0.2436 0.7678 1
Te4 0.3424 0.6887 0.6848 1
Ga1 0.0000 0.0000 0.0000 1
Nb1 0.2557 0.1895 0.5114 1
Nb2 0.7443 0.8105 0.4886 1

***

# NbZnMo PBE optimized geometry
# DOS at the Fermi energy ... 0.691 states/eV per atom
# ΔE to the lowest computed polymorph ... 0.11 eV per formula unit
# Symmetry ... C2/m, No. 12
data_NbZnMo
_chemical_formula_sum 'Nb2 Zn2 Mo2'
_cell_length_a 3.0977
_cell_length_b 4.3858
_cell_length_c 11.2902
_cell_angle_alpha 90.10
_cell_angle_beta 105.91
_cell_angle_gamma 44.81
_space_group_name_H-M_alt 'P 1'
_space_group_IT_number 1
_space_group_name_Hall 'P 1'
loop_
_atom_site_label
_atom_site_fract_x
_atom_site_fract_y
_atom_site_fract_z
_atom_site_occupancy
Zn1 0.0419 0.1493 0.6422 1
Zn2 0.3375 0.5014 0.7910 1
Nb1 0.6972 0.8215 0.9707 1
Nb2 0.6821 0.8293 0.4626 1
Mo1 0.0481 0.1462 0.1458 1
Mo2 0.3311 0.5047 0.2874 1

***

# La2CuRuO6 PBE optimized geometry
# DOS at the Fermi energy ... 0.263 states/eV per atom
# Formation energy without anion corrections ... -2.12 eV/atom
# Symmetry ... C2/m, No. 12
data_La2CuRuO6
_chemical_formula_sum 'La2 Cu1 Ru1 O6'
_cell_length_a 5.6381
_cell_length_b 5.5104
_cell_length_c 5.7047
_cell_angle_alpha 118.88
_cell_angle_beta 119.15
_cell_angle_gamma 90.00
_space_group_name_H-M_alt 'P 1'
_space_group_IT_number 1
_space_group_name_Hall 'P 1'
loop_
_atom_site_label
_atom_site_fract_x
_atom_site_fract_y
_atom_site_fract_z
_atom_site_occupancy
O1 0.8157 0.3111 0.1199 1
O2 0.8157 0.8088 0.1199 1
O3 0.6655 0.2673 0.5346 1
O4 0.3345 0.7327 0.4654 1
O5 0.1843 0.1912 0.8801 1
O6 0.1843 0.6889 0.8801 1
Cu1 0.5000 0.0000 0.0000 1
Ru1 0.0000 0.5000 0.0000 1
La1 0.7635 0.7490 0.4981 1
La2 0.2365 0.2510 0.5019 1

***

# YZn2Ir PBE optimized geometry
# DOS at the Fermi energy ... 0.395 states/eV per atom
# Symmetry ... Pm, No. 6
data_YZn2Ir
_chemical_formula_sum 'Y1 Zn2 Ir1'
_cell_length_a 3.9305
_cell_length_b 3.8652
_cell_length_c 5.4421
_cell_angle_alpha 70.98
_cell_angle_beta 90.00
_cell_angle_gamma 90.00
_space_group_name_H-M_alt 'P 1'
_space_group_IT_number 1
_space_group_name_Hall 'P 1'
loop_
_atom_site_label
_atom_site_fract_x
_atom_site_fract_y
_atom_site_fract_z
_atom_site_occupancy
Y1 0.5000 0.7292 0.6728 1
Zn1 0.0000 0.0465 0.0618 1
Zn2 0.5000 0.4376 0.2261 1
Ir1 0.0000 0.2866 0.5393 1

***

Number 1: raw total energy -5.04 eV per atom. Number 2: raw total energy -1.57 eV per atom. Number 3: raw total energy -6.36 eV per atom. Number 4: raw total energy -5.64 eV per atom. Number 5: raw total energy -3.93 eV per atom. Number 6: raw total energy -2.81 eV per atom. Number 7: raw total energy -3.49 eV per atom. Number 8: raw total energy -2.25 eV per atom. Number 9: raw total energy -5.51 eV per atom. Number 10: raw total energy -7.33 eV per atom. Number 11: raw total energy -7.42 eV per atom. Number 12: raw total energy -4.79 eV per atom.